# Zr3MnAs | Alexandria | PBE | relaxed
data_Zr3MnAs
_cell_length_a 4.950
_cell_length_b 4.950
_cell_length_c 4.950
_cell_angle_alpha 90.00
_cell_angle_beta 90.00
_cell_angle_gamma 90.00
_symmetry_space_group_name_H-M 'P m -3 m'
_symmetry_Int_Tables_number 221
_symmetry_space_group_name_Hall '-P 4 2 3'
loop_
_atom_site_label
_atom_site_type_symbol
_atom_site_fract_x
_atom_site_fract_y
_atom_site_fract_z
_atom_site_occupancy
Zr1 Zr 0.000 0.000 0.500 1
Mn1 Mn 0.500 0.500 0.500 1
As1 As 0.000 0.000 0.000 1
# Final energy   -7.272 eV per atom



# Li7Ag2Pb | Alexandria | PBE | relaxed
data_Li7Ag2Pb
_cell_length_a 7.622
_cell_length_b 13.433
_cell_length_c 4.429
_cell_angle_alpha 90.00
_cell_angle_beta 90.00
_cell_angle_gamma 90.00
_symmetry_space_group_name_H-M 'C m m m'
_symmetry_Int_Tables_number 65
_symmetry_space_group_name_Hall '-C 2 2'
loop_
_atom_site_label
_atom_site_type_symbol
_atom_site_fract_x
_atom_site_fract_y
_atom_site_fract_z
_atom_site_occupancy
Li1 Li 0.000 0.000 0.000 1
Li2 Li 0.000 0.285 0.500 1
Li3 Li 0.181 0.384 0.000 1
Ag1 Ag 0.000 0.198 0.000 1
Pb1 Pb 0.000 0.500 0.500 1
# Final energy   -2.274 eV per atom



# MnGaIN2 | Alexandria | PBE | relaxed
data_MnGaIN2
_cell_length_a 3.887
_cell_length_b 3.887
_cell_length_c 6.295
_cell_angle_alpha 90.00
_cell_angle_beta 90.00
_cell_angle_gamma 90.00
_symmetry_space_group_name_H-M 'P 4/m m m'
_symmetry_Int_Tables_number 123
_symmetry_space_group_name_Hall '-P 4 2'
loop_
_atom_site_label
_atom_site_type_symbol
_atom_site_fract_x
_atom_site_fract_y
_atom_site_fract_z
_atom_site_occupancy
Mn1 Mn 0.000 0.000 0.000 1
Ga1 Ga 0.500 0.500 0.500 1
I1 I 0.500 0.500 0.000 1
N1 N 0.000 0.500 0.500 1
# Raw formation energy   1.2790 eV per atom



# MnH5Rh2 | Alexandria | PBE | relaxed
data_MnH5Rh2
_cell_length_a 3.034
_cell_length_b 4.762
_cell_length_c 8.343
_cell_angle_alpha 90.00
_cell_angle_beta 90.00
_cell_angle_gamma 90.00
_symmetry_space_group_name_H-M 'I m m m'
_symmetry_Int_Tables_number 71
_symmetry_space_group_name_Hall '-I 2 2'
loop_
_atom_site_label
_atom_site_type_symbol
_atom_site_fract_x
_atom_site_fract_y
_atom_site_fract_z
_atom_site_occupancy
Mn1 Mn 0.000 0.000 0.000 1
H1 H 0.000 0.220 0.352 1
H2 H 0.000 0.500 0.000 1
Rh1 Rh 0.000 0.500 0.207 1
# Final energy   -5.088 eV per atom



# RbScNb2 | Alexandria | PBE | relaxed
data_RbScNb2
_cell_length_a 4.594
_cell_length_b 4.594
_cell_length_c 21.494
_cell_angle_alpha 90.00
_cell_angle_beta 90.00
_cell_angle_gamma 90.00
_symmetry_space_group_name_H-M 'I -4 2 d'
_symmetry_Int_Tables_number 122
_symmetry_space_group_name_Hall 'I -4 2bw'
loop_
_atom_site_label
_atom_site_type_symbol
_atom_site_fract_x
_atom_site_fract_y
_atom_site_fract_z
_atom_site_occupancy
Rb1 Rb 0.000 0.000 0.000 1
Sc1 Sc 0.000 0.000 0.500 1
Nb1 Nb 0.117 0.250 0.625 1
# Final energy   -5.360 eV per atom



# CsAcS2 | Alexandria | PBE | relaxed
data_CsAcS2
_cell_length_a 3.820
_cell_length_b 3.820
_cell_length_c 8.280
_cell_angle_alpha 90.00
_cell_angle_beta 90.00
_cell_angle_gamma 90.00
_symmetry_space_group_name_H-M 'P 4/m m m'
_symmetry_Int_Tables_number 123
_symmetry_space_group_name_Hall '-P 4 2'
loop_
_atom_site_label
_atom_site_type_symbol
_atom_site_fract_x
_atom_site_fract_y
_atom_site_fract_z
_atom_site_occupancy
Cs1 Cs 0.000 0.000 0.000 1
Ac1 Ac 0.000 0.000 0.500 1
S1 S 0.500 0.500 0.300 1
# Raw formation energy   -1.6561 eV per atom



For each record above, in turn, the calculated magnetization values are 0.19, 0.00, 5.95, 4.29, 0.00, 0.00 μB per formula unit.